# CaSm2MoO6 PBE with a Hubbard U relaxed
# Total magnetic moment   2.0 μB/f.u.
# Calculated density   6.07 g cm⁻³
# DFT total energy   -76.6 eV per cell
# N(E_F)   0.00 states/eV per atom
data_CaSm2MoO6
_chemical_formula_sum 'Ca1 Sm2 Mo1 O6'
_symmetry_space_group_name_H-M 'P 1'
_symmetry_Int_Tables_number 1
_cell_length_a 5.770
_cell_length_b 5.796
_cell_length_c 5.972
_cell_angle_alpha 118.21
_cell_angle_beta 90.25
_cell_angle_gamma 119.53
loop_
_symmetry_equiv_pos_as_xyz
'x,y,z'
loop_
_atom_site_label
_atom_site_type_symbol
_atom_site_fract_x
_atom_site_fract_y
_atom_site_fract_z
_atom_site_occupancy
Ca1 Ca 0.000 0.000 0.000 1
Sm1 Sm 0.218 0.443 0.660 1
Sm2 Sm 0.727 0.450 0.174 1
Mo1 Mo 0.512 0.021 0.532 1
O1 O 0.146 0.535 0.322 1
O2 O 0.313 0.179 0.797 1
O3 O 0.394 0.169 0.328 1
O4 O 0.611 0.934 0.806 1
O5 O 0.771 0.927 0.328 1
O6 O 0.872 0.492 0.808 1

***

# SrCaMo2O8 PBE with a Hubbard U relaxed
# Total magnetic moment   0.0 μB/f.u.
# Calculated density   3.75 g cm⁻³
# DFT total energy   -169.2 eV per cell
# N(E_F)   0.00 states/eV per atom
data_SrCaMo2O8
_chemical_formula_sum 'Sr2 Ca2 Mo4 O16'
_symmetry_space_group_name_H-M 'I -4 m 2'
_symmetry_Int_Tables_number 119
_symmetry_space_group_name_Hall 'I -4 -2'
_cell_length_a 7.637
_cell_length_b 7.637
_cell_length_c 6.800
_cell_angle_alpha 90.00
_cell_angle_beta 90.00
_cell_angle_gamma 90.00
loop_
_atom_site_label
_atom_site_type_symbol
_atom_site_fract_x
_atom_site_fract_y
_atom_site_fract_z
_atom_site_occupancy
Sr1 Sr 0.000 0.000 0.000 1
Ca1 Ca 0.000 0.500 0.750 1
Mo1 Mo 0.000 0.000 0.500 1
Mo2 Mo 0.000 0.500 0.250 1
O1 O 0.000 0.187 0.661 1
O2 O 0.000 0.318 0.084 1

***

# Sr4CaMo3O12 PBE with a Hubbard U relaxed
# Total magnetic moment   4.0 μB/f.u.
# Calculated density   5.15 g cm⁻³
# DFT total energy   -272.7 eV per cell
# N(E_F)   0.37 states/eV per atom
data_Sr4CaMo3O12
_chemical_formula_sum 'Sr8 Ca2 Mo6 O24'
_symmetry_space_group_name_H-M 'I m -3 m'
_symmetry_Int_Tables_number 229
_symmetry_space_group_name_Hall '-I 4 2 3'
_cell_length_a 8.249
_cell_length_b 8.249
_cell_length_c 8.249
_cell_angle_alpha 90.00
_cell_angle_beta 90.00
_cell_angle_gamma 90.00
loop_
_atom_site_label
_atom_site_type_symbol
_atom_site_fract_x
_atom_site_fract_y
_atom_site_fract_z
_atom_site_occupancy
Sr1 Sr 0.250 0.250 0.250 1
Ca1 Ca 0.000 0.000 0.000 1
Mo1 Mo 0.000 0.000 0.500 1
O1 O 0.000 0.000 0.268 1
O2 O 0.000 0.250 0.500 1

***

# Sr2CaMoO6 PBE with a Hubbard U relaxed
# Total magnetic moment   0.0 μB/f.u.
# Calculated density   4.73 g cm⁻³
# DFT total energy   -135.6 eV per cell
# N(E_F)   0.00 states/eV per atom
data_Sr2CaMoO6
_chemical_formula_sum 'Sr4 Ca2 Mo2 O12'
_symmetry_space_group_name_H-M 'P 1 21/c 1'
_symmetry_Int_Tables_number 14
_cell_length_a 5.806
_cell_length_b 5.956
_cell_length_c 10.094
_cell_angle_alpha 90.00
_cell_angle_beta 124.94
_cell_angle_gamma 90.00
loop_
_symmetry_equiv_pos_as_xyz
'x,y,z'
'-x,-y,-z'
'-x,y+1/2,-z+1/2'
'x,-y+1/2,z+1/2'
loop_
_atom_site_label
_atom_site_type_symbol
_atom_site_fract_x
_atom_site_fract_y
_atom_site_fract_z
_atom_site_occupancy
Sr1 Sr 0.241 0.046 0.252 1
Ca1 Ca 0.500 0.000 0.000 1
Mo1 Mo 0.000 0.000 0.500 1
O1 O 0.132 0.231 0.950 1
O2 O 0.229 0.687 0.959 1
O3 O 0.313 0.030 0.727 1

***

# Sr2CaMoO PBE with a Hubbard U relaxed
# Total magnetic moment   3.7 μB/f.u.
# Calculated density   3.82 g cm⁻³
# DFT total energy   -19.6 eV per cell
# N(E_F)   0.58 states/eV per atom
data_Sr2CaMoO
_chemical_formula_sum 'Sr2 Ca1 Mo1 O1'
_symmetry_space_group_name_H-M 'P 4/m m m'
_symmetry_Int_Tables_number 123
_symmetry_space_group_name_Hall '-P 4 2'
_cell_length_a 5.608
_cell_length_b 5.608
_cell_length_c 4.518
_cell_angle_alpha 90.00
_cell_angle_beta 90.00
_cell_angle_gamma 90.00
loop_
_atom_site_label
_atom_site_type_symbol
_atom_site_fract_x
_atom_site_fract_y
_atom_site_fract_z
_atom_site_occupancy
Sr1 Sr 0.000 0.500 0.000 1
Ca1 Ca 0.000 0.000 0.500 1
Mo1 Mo 0.500 0.500 0.500 1
O1 O 0.500 0.500 0.000 1

***

# Ca2TaMoO6 PBE with a Hubbard U relaxed
# Total magnetic moment   3.0 μB/f.u.
# Calculated density   5.92 g cm⁻³
# DFT total energy   -159.8 eV per cell
data_Ca2TaMoO6
_chemical_formula_sum 'Ca4 Ta2 Mo2 O12'
_symmetry_space_group_name_H-M 'P 1 21/m 1'
_symmetry_Int_Tables_number 11
_cell_length_a 5.564
_cell_length_b 7.945
_cell_length_c 5.754
_cell_angle_alpha 90.00
_cell_angle_beta 90.30
_cell_angle_gamma 90.00
loop_
_symmetry_equiv_pos_as_xyz
'x,y,z'
'-x,-y,-z'
'-x,y+1/2,-z'
'x,-y+1/2,z'
loop_
_atom_site_label
_atom_site_type_symbol
_atom_site_fract_x
_atom_site_fract_y
_atom_site_fract_z
_atom_site_occupancy
Ca1 Ca 0.010 0.250 0.045 1
Ca2 Ca 0.490 0.250 0.561 1
Ta1 Ta 0.000 0.000 0.500 1
Mo1 Mo 0.500 0.000 0.000 1
O1 O 0.094 0.750 0.534 1
O2 O 0.187 0.052 0.786 1
O3 O 0.290 0.051 0.311 1
O4 O 0.382 0.750 0.051 1

***

# Ca2TaMoO6 PBE with a Hubbard U relaxed
# Total magnetic moment   3.0 μB/f.u.
# Calculated density   5.42 g cm⁻³
# DFT total energy   -78.6 eV per cell
data_Ca2TaMoO6
_chemical_formula_sum 'Ca2 Ta1 Mo1 O6'
_symmetry_space_group_name_H-M 'P 4 m m'
_symmetry_Int_Tables_number 99
_cell_length_a 5.721
_cell_length_b 5.721
_cell_length_c 4.243
_cell_angle_alpha 90.00
_cell_angle_beta 90.00
_cell_angle_gamma 90.00
loop_
_symmetry_equiv_pos_as_xyz
'x,y,z'
'-y,x,z'
'-x,-y,z'
'y,-x,z'
'-x,y,z'
'y,x,z'
'x,-y,z'
'-y,-x,z'
loop_
_atom_site_label
_atom_site_type_symbol
_atom_site_fract_x
_atom_site_fract_y
_atom_site_fract_z
_atom_site_occupancy
Ca1 Ca 0.000 0.500 0.000 1
Ta1 Ta 0.000 0.000 0.588 1
Mo1 Mo 0.500 0.500 0.633 1
O1 O 0.000 0.000 0.144 1
O2 O 0.238 0.238 0.670 1
O3 O 0.500 0.500 0.134 1

***

# CaTb2MoO6 PBE with a Hubbard U relaxed
# Total magnetic moment   2.0 μB/f.u.
# Calculated density   6.42 g cm⁻³
# DFT total energy   -76.9 eV per cell
# N(E_F)   0.00 states/eV per atom
data_CaTb2MoO6
_chemical_formula_sum 'Ca1 Tb2 Mo1 O6'
_symmetry_space_group_name_H-M 'P 1'
_symmetry_Int_Tables_number 1
_cell_length_a 5.700
_cell_length_b 5.715
_cell_length_c 5.966
_cell_angle_alpha 117.88
_cell_angle_beta 90.27
_cell_angle_gamma 119.54
loop_
_symmetry_equiv_pos_as_xyz
'x,y,z'
loop_
_atom_site_label
_atom_site_type_symbol
_atom_site_fract_x
_atom_site_fract_y
_atom_site_fract_z
_atom_site_occupancy
Ca1 Ca 0.000 0.000 0.000 1
Tb1 Tb 0.214 0.436 0.651 1
Tb2 Tb 0.725 0.446 0.169 1
Mo1 Mo 0.515 0.025 0.539 1
O1 O 0.137 0.538 0.331 1
O2 O 0.321 0.200 0.807 1
O3 O 0.406 0.186 0.338 1
O4 O 0.601 0.931 0.815 1
O5 O 0.776 0.924 0.339 1
O6 O 0.885 0.493 0.819 1